# PBE+U NiIN2O, optimized geometry
data_NiIN2O
_cell_length_a 3.4523
_cell_length_b 3.4523
_cell_length_c 7.9961
_cell_angle_alpha 90.00
_cell_angle_beta 90.00
_cell_angle_gamma 90.00
_symmetry_space_group_name_H-M 'P 4/m m m'
_symmetry_Int_Tables_number 123
_symmetry_space_group_name_Hall '-P 4 2'
loop_
_atom_site_label
_atom_site_fract_x
_atom_site_fract_y
_atom_site_fract_z
Ni1 0.0000 0.0000 0.0000
I1 0.0000 0.0000 0.5000
N1 0.0000 0.5000 0.0000
O1 0.5000 0.5000 0.5000
# E_tot = -3.598 eV/atom